[1]
Compound: SrOs2Au
Source: Alexandria via LeMat-Bulk
Functional: PBE
Structure: relaxed

Unit cell a=3.7632 b=2.8724 c=7.9488 alpha=68.87 beta=90.00 gamma=90.00
Element x y z (fractional)
Au (0.5000, 0.7088, 0.7904)
Os (0.0000, 0.9598, 0.0400)
Os (0.5000, 0.3255, 0.1750)
Sr (0.0000, 0.5060, 0.4946)

Output
space-group type: Pmm2
M_tot: 0.00 μB/f.u.
DOS(E_F): 0.89 states/eV per atom
offset from the most stable computed form: 0 meV per atom
ΔH_f (0 K): 332 meV per atom
V: 20.0 A^3/atom


[2]
Compound: Sr2OsAu
Source: Alexandria via LeMat-Bulk
Functional: PBE
Structure: relaxed

Unit cell a=5.4939 b=3.3865 c=5.4956 alpha=90.00 beta=90.00 gamma=90.00
Site moments in Bohr magnetons follow the coordinates.
Element x y z (fractional)
Au (0.0000, 0.6249, 0.3759)  0.00
Os (0.5000, 0.6251, 0.8742)  0.81
Sr (0.0000, 0.1254, 0.8755)  -0.01
Sr (0.5000, 0.1246, 0.3745)  -0.01

Output
space-group type: Pmm2
M_tot: 0.77 μB/f.u.
DOS(E_F): 0.57 states/eV per atom
offset from the most stable computed form: 41 meV per atom
ΔH_f (0 K): 254 meV per atom
V: 25.6 A^3/atom


[3]
Compound: Sr2OsAu
Source: Alexandria via LeMat-Bulk
Functional: PBE
Structure: relaxed

Unit cell a=9.2091 b=9.2091 c=9.2091 alpha=23.72 beta=23.72 gamma=23.72
Site moments in Bohr magnetons follow the coordinates.
Element x y z (fractional)
Au (0.2500, 0.2500, 0.2500)  0.00
Os (0.7500, 0.7500, 0.7500)  0.34
Sr (0.0052, 0.0052, 0.0052)  -0.01
Sr (0.4948, 0.4948, 0.4948)  -0.01

Output
space-group type: R-3m
M_tot: 0.32 μB/f.u.
DOS(E_F): 0.38 states/eV per atom
offset from the most stable computed form: 243 meV per atom
ΔH_f (0 K): 456 meV per atom
V: 27.7 A^3/atom


[4]
Compound: SrOs2Au
Source: Alexandria via LeMat-Bulk
Functional: PBE
Structure: relaxed

Unit cell a=2.7160 b=4.5406 c=6.4302 alpha=90.00 beta=90.00 gamma=90.00
Element x y z (fractional)
Au (0.5000, 0.5000, 0.7500)
Os (0.0000, 0.0000, 0.9380)
Os (0.0000, 0.0000, 0.5620)
Sr (0.5000, 0.5000, 0.2500)

Output
space-group type: Pmmm
M_tot: 0.00 μB/f.u.
DOS(E_F): 0.73 states/eV per atom
offset from the most stable computed form: 513 meV per atom
ΔH_f (0 K): 845 meV per atom
V: 19.8 A^3/atom


[5]
Compound: Sr2OsAu
Source: Alexandria via LeMat-Bulk
Functional: PBE
Structure: relaxed

Unit cell a=4.3585 b=4.3585 c=6.2411 alpha=90.00 beta=90.00 gamma=90.00
Site moments in Bohr magnetons follow the coordinates.
Element x y z (fractional)
Au (0.0000, 0.0000, 0.4263)  -0.01
Os (0.5000, 0.5000, 0.8277)  1.24
Sr (0.0000, 0.0000, 0.9103)  -0.02
Sr (0.5000, 0.5000, 0.3356)  -0.02

Output
space-group type: P4mm
M_tot: 1.16 μB/f.u.
DOS(E_F): 1.21 states/eV per atom
offset from the most stable computed form: 309 meV per atom
ΔH_f (0 K): 523 meV per atom
V: 29.6 A^3/atom


[6]
Compound: SrOs2Au
Source: Alexandria via LeMat-Bulk
Functional: PBE
Structure: relaxed

Unit cell a=4.7398 b=4.7398 c=4.7398 alpha=60.00 beta=60.00 gamma=60.00
Site moments in Bohr magnetons follow the coordinates.
Element x y z (fractional)
Os (0.2500, 0.2500, 0.2500)  0.99
Os (0.7500, 0.7500, 0.7500)  0.99
Au (0.5000, 0.5000, 0.5000)  0.14
Sr (0.0000, 0.0000, 0.0000)  0.03

Output
space-group type: Fm-3m
M_tot: 2.29 μB/f.u.
DOS(E_F): 1.41 states/eV per atom
offset from the most stable computed form: 1046 meV per atom
ΔH_f (0 K): 1378 meV per atom
V: 18.8 A^3/atom


[7]
Compound: Sr2OsAu
Source: Alexandria via LeMat-Bulk
Functional: PBE
Structure: relaxed

Unit cell a=3.6222 b=3.5130 c=8.7991 alpha=66.50 beta=90.00 gamma=90.00
Site moments in Bohr magnetons follow the coordinates.
Element x y z (fractional)
Au (0.5000, 0.2500, 0.2500)  0.00
Os (0.5000, 0.7500, 0.7500)  0.42
Sr (0.0000, 0.0183, 0.9819)  0.00
Sr (0.0000, 0.4817, 0.5181)  0.00

Output
space-group type: Pmmm
M_tot: 0.44 μB/f.u.
DOS(E_F): 1.10 states/eV per atom
offset from the most stable computed form: 0 meV per atom
ΔH_f (0 K): 214 meV per atom
V: 25.7 A^3/atom


[8]
Compound: SrOs2Au
Source: Alexandria via LeMat-Bulk
Functional: PBE
Structure: relaxed

Unit cell a=4.3698 b=4.3698 c=7.1623 alpha=83.13 beta=83.13 gamma=38.26
Element x y z (fractional)
Au (0.2638, 0.2638, 0.2081)
Os (0.9958, 0.9958, 0.9528)
Os (0.7425, 0.7425, 0.8267)
Sr (0.4979, 0.4979, 0.5124)

Output
space-group type: Cm
M_tot: 0.00 μB/f.u.
DOS(E_F): 0.62 states/eV per atom
offset from the most stable computed form: 141 meV per atom
ΔH_f (0 K): 473 meV per atom
V: 21.0 A^3/atom


[9]
Compound: SrOs2Au
Source: Alexandria via LeMat-Bulk
Functional: PBE
Structure: relaxed

Unit cell a=5.7201 b=5.7201 c=5.7201 alpha=139.66 beta=139.66 gamma=58.37
Element x y z (fractional)
Au (0.7500, 0.2500, 0.5000)
Os (0.0000, 0.0000, 0.0000)
Os (0.5000, 0.5000, 0.0000)
Sr (0.2500, 0.7500, 0.5000)

Output
space-group type: I4/mmm
M_tot: 0.00 μB/f.u.
DOS(E_F): 1.14 states/eV per atom
offset from the most stable computed form: 672 meV per atom
ΔH_f (0 K): 1003 meV per atom
V: 19.4 A^3/atom


[10]
Compound: Sr2OsAu
Source: Alexandria via LeMat-Bulk
Functional: PBE
Structure: relaxed

Unit cell a=4.4275 b=4.4275 c=8.3338 alpha=84.00 beta=84.00 gamma=41.22
Site moments in Bohr magnetons follow the coordinates.
Element x y z (fractional)
Au (0.7500, 0.7500, 0.7500)  0.00
Os (0.2500, 0.2500, 0.2500)  0.08
Sr (0.9985, 0.9985, 0.0204)  0.00
Sr (0.5015, 0.5015, 0.4796)  0.00

Output
space-group type: C2/m
M_tot: 0.08 μB/f.u.
DOS(E_F): 0.87 states/eV per atom
offset from the most stable computed form: 232 meV per atom
ΔH_f (0 K): 445 meV per atom
V: 26.7 A^3/atom


[11]
Compound: SrOs2Au
Source: Alexandria via LeMat-Bulk
Functional: PBE
Structure: relaxed

Unit cell a=4.9012 b=4.9012 c=4.9012 alpha=125.92 beta=125.92 gamma=80.02
Element x y z (fractional)
Au (0.7500, 0.2500, 0.5000)
Os (0.0000, 0.0000, 0.0000)
Os (0.2500, 0.7500, 0.5000)
Sr (0.5000, 0.5000, 0.0000)

Output
space-group type: I-4m2
M_tot: 0.00 μB/f.u.
DOS(E_F): 1.12 states/eV per atom
offset from the most stable computed form: 602 meV per atom
ΔH_f (0 K): 933 meV per atom
V: 18.6 A^3/atom


[12]
Compound: SrOs2Au
Source: Alexandria via LeMat-Bulk
Functional: PBE
Structure: relaxed

Unit cell a=4.7075 b=3.9983 c=3.9983 alpha=90.00 beta=90.00 gamma=90.00
Element x y z (fractional)
Au (0.5000, 0.0000, 0.5000)
Os (0.0000, 0.0000, 0.0000)
Os (0.0000, 0.5000, 0.5000)
Sr (0.5000, 0.5000, 0.0000)

Output
space-group type: P4/mmm
M_tot: 0.00 μB/f.u.
DOS(E_F): 0.84 states/eV per atom
offset from the most stable computed form: 577 meV per atom
ΔH_f (0 K): 909 meV per atom
V: 18.8 A^3/atom


Repeat the fourth record exactly.
Compound: SrOs2Au
Source: Alexandria via LeMat-Bulk
Functional: PBE
Structure: relaxed

Unit cell a=2.7160 b=4.5406 c=6.4302 alpha=90.00 beta=90.00 gamma=90.00
Element x y z (fractional)
Au (0.5000, 0.5000, 0.7500)
Os (0.0000, 0.0000, 0.9380)
Os (0.0000, 0.0000, 0.5620)
Sr (0.5000, 0.5000, 0.2500)

Output
space-group type: Pmmm
M_tot: 0.00 μB/f.u.
DOS(E_F): 0.73 states/eV per atom
offset from the most stable computed form: 513 meV per atom
ΔH_f (0 K): 845 meV per atom
V: 19.8 A^3/atom